H13PtC3N3Cl2O: optimized geometry, PBE.

Values from the calculation:
Its calculated total energy is -5.227 eV/atom.

Structure (POSCAR):
```
H13PtC3N3Cl2O
1.0
6.1902 0.0000 0.0000
-0.9416 6.6387 0.0000
-1.1347 -3.1786 10.9154
H Pt C N Cl O
26 2 6 6 4 2
direct
0.0349 0.2966 0.3368
0.0514 0.6585 0.3095
0.0628 0.0476 0.3560
0.1506 0.2988 0.9342
0.1710 0.0475 0.8836
0.2639 0.2189 0.8075
0.2638 0.2694 0.4390
0.3094 0.4187 0.1461
0.3249 0.6695 0.5751
0.3407 0.9383 0.5781
0.3497 0.7458 0.4373
0.3876 0.2104 0.1826
0.4395 0.5553 0.7784
0.5605 0.4447 0.2216
0.6124 0.7896 0.8174
0.6503 0.2542 0.5627
0.6593 0.0617 0.4219
0.6751 0.3305 0.4249
0.6906 0.5813 0.8539
0.7362 0.7306 0.5610
0.7361 0.7811 0.1925
0.8290 0.9525 0.1164
0.8494 0.7012 0.0658
0.9372 0.9524 0.6440
0.9486 0.3415 0.6905
0.9651 0.7034 0.6632
0.4412 0.7532 0.0092
0.5588 0.2468 0.9908
0.0627 0.3133 0.6217
0.0882 0.2157 0.4038
0.2768 0.7761 0.5226
0.7232 0.2239 0.4774
0.9118 0.7843 0.5962
0.9373 0.6867 0.3783
0.0378 0.7442 0.4944
0.2498 0.1984 0.8930
0.4401 0.3422 0.1551
0.5599 0.6578 0.8449
0.7502 0.8016 0.1070
0.9622 0.2558 0.5056
0.0922 0.7004 0.8978
0.3131 0.8654 0.1959
0.6869 0.1346 0.8041
0.9078 0.2996 0.1022
0.2665 0.3323 0.6527
0.7335 0.6677 0.3473
```

***

ZnH14C14SN6Cl2O: optimized geometry, PBE.

Values from the calculation:
Its calculated total energy is -6.230 eV/atom.

Structure (POSCAR):
```
ZnH14C14SN6Cl2O
1.0
8.6782 0.0000 0.0000
-0.8488 9.8110 0.0000
-2.2466 -1.4833 10.2131
Zn H C S N Cl O
2 28 28 2 12 4 2
direct
0.1567 0.2482 0.2998
0.8433 0.7518 0.7002
0.0207 0.3561 0.0097
0.0805 0.7959 0.1011
0.0986 0.9162 0.9260
0.1558 0.6298 0.1128
0.1989 0.1682 0.8913
0.2775 0.6831 0.3983
0.2989 0.3380 0.9587
0.3140 0.2617 0.7984
0.3206 0.8782 0.2725
0.3901 0.9351 0.0112
0.4033 0.5956 0.7152
0.4059 0.9990 0.6911
0.4507 0.2279 0.1020
0.4893 0.3720 0.4348
0.5107 0.6280 0.5652
0.5493 0.7721 0.8980
0.5941 0.0010 0.3089
0.5967 0.4044 0.2848
0.6099 0.0649 0.9888
0.6794 0.1218 0.7275
0.6860 0.7383 0.2016
0.7011 0.6620 0.0413
0.7225 0.3169 0.6017
0.8011 0.8318 0.1087
0.8442 0.3702 0.8872
0.9014 0.0838 0.0740
0.9195 0.2041 0.8989
0.9793 0.6439 0.9903
0.0501 0.6837 0.0892
0.0843 0.5772 0.6031
0.1451 0.0530 0.5191
0.1706 0.8475 0.8814
0.1759 0.6687 0.7199
0.2375 0.2699 0.8685
0.3086 0.1189 0.5417
0.3347 0.8574 0.9278
0.3395 0.6695 0.7624
0.3941 0.7410 0.4142
0.4182 0.8478 0.3429
0.4206 0.7668 0.8676
0.4304 0.0820 0.6363
0.4781 0.2892 0.4932
0.5219 0.7108 0.5068
0.5696 0.9180 0.3637
0.5794 0.2332 0.1324
0.5818 0.1522 0.6571
0.6059 0.2590 0.5858
0.6605 0.3305 0.2376
0.6653 0.1426 0.0722
0.6914 0.8811 0.4583
0.7625 0.7301 0.1315
0.8241 0.3313 0.2801
0.8294 0.1525 0.1186
0.8549 0.9470 0.4809
0.9157 0.4228 0.3969
0.9499 0.3163 0.9108
0.0685 0.3509 0.7960
0.9315 0.6491 0.2040
0.0366 0.0909 0.4223
0.0715 0.4092 0.4341
0.0925 0.7547 0.7803
0.1115 0.9621 0.5977
0.1588 0.4872 0.5383
0.3333 0.2193 0.4693
0.6667 0.7807 0.5307
0.8412 0.5128 0.4617
0.8885 0.0379 0.4023
0.9075 0.2453 0.2197
0.9285 0.5908 0.5659
0.9634 0.9091 0.5777
0.2018 0.0636 0.1579
0.2817 0.4310 0.2209
0.7183 0.5690 0.7791
0.7982 0.9364 0.8421
0.0110 0.7349 0.3339
0.9890 0.2651 0.6661
```

***

ZnH12C2S2N4Cl2O4: optimized geometry, PBE.

Values from the calculation:
Its calculated total energy is -5.092 eV/atom.

Structure (POSCAR):
```
ZnH12C2S2N4Cl2O4
1.0
13.9454 0.0000 0.0000
0.0000 4.7069 0.0000
0.0000 0.0000 8.6762
Zn H C S N Cl O
2 24 4 4 8 4 8
direct
0.0000 0.0637 0.0000
0.5000 0.9363 0.5000
0.0783 0.5048 0.5810
0.1049 0.4115 0.1499
0.1215 0.7483 0.4339
0.1635 0.7735 0.6313
0.1713 0.1223 0.1114
0.1790 0.3291 0.8456
0.3210 0.6709 0.3456
0.3287 0.8777 0.6114
0.3365 0.2265 0.1313
0.3785 0.2517 0.9339
0.3951 0.5885 0.6499
0.4217 0.4952 0.0810
0.5783 0.4952 0.0810
0.6049 0.5885 0.6499
0.6215 0.2517 0.9339
0.6635 0.2265 0.1313
0.6713 0.8777 0.6114
0.6790 0.6709 0.3456
0.8210 0.3291 0.8456
0.8287 0.1223 0.1114
0.8365 0.7735 0.6313
0.8785 0.7483 0.4339
0.8951 0.4115 0.1499
0.9217 0.5048 0.5810
0.1391 0.6311 0.5393
0.3609 0.3689 0.0393
0.6391 0.3689 0.0393
0.8609 0.6311 0.5393
0.2307 0.3856 0.4989
0.2693 0.6144 0.9989
0.7307 0.6144 0.9989
0.7693 0.3856 0.4989
0.1257 0.2723 0.0641
0.1703 0.4388 0.9476
0.3297 0.5612 0.4476
0.3743 0.7277 0.5641
0.6257 0.7277 0.5641
0.6703 0.5612 0.4476
0.8297 0.4388 0.9476
0.8743 0.2723 0.0641
0.0000 0.0539 0.7462
0.0000 0.7685 0.2070
0.5000 0.2315 0.7070
0.5000 0.9461 0.2462
0.2063 0.2149 0.3663
0.2454 0.7579 0.1427
0.2546 0.2421 0.6427
0.2937 0.7851 0.8663
0.7063 0.7851 0.8663
0.7454 0.2421 0.6427
0.7546 0.7579 0.1427
0.7937 0.2149 0.3663
```

***

TbH20C4N8Cl3O6: optimized geometry, PBE.

Values from the calculation:
Its calculated total energy is -5.753 eV/atom.

Structure (POSCAR):
```
TbH20C4N8Cl3O6
1.0
0.0000 14.2701 6.6708
4.3361 0.0000 6.6708
4.3361 14.2701 0.0000
Tb H C N Cl O
2 40 8 16 6 12
direct
0.0000 0.0000 0.0000
0.2500 0.2500 0.2500
0.0995 0.1555 0.0603
0.1098 0.9580 0.0954
0.1191 0.6165 0.0076
0.1395 0.6693 0.3154
0.1440 0.4249 0.5741
0.1555 0.0995 0.6847
0.1546 0.4131 0.1402
0.1741 0.6001 0.3922
0.1897 0.5653 0.1505
0.2227 0.4075 0.6158
0.2424 0.9931 0.1309
0.2667 0.5946 0.8004
0.3244 0.6176 0.5597
0.3484 0.7861 0.4534
0.3741 0.9346 0.5807
0.3929 0.6759 0.8251
0.4075 0.2227 0.7540
0.4131 0.1546 0.2920
0.4164 0.8578 0.6499
0.4249 0.1440 0.8571
0.4496 0.9117 0.9833
0.4960 0.6342 0.8425
0.5653 0.1897 0.0945
0.5946 0.2667 0.3383
0.6001 0.1741 0.8336
0.6165 0.1191 0.2569
0.6176 0.3244 0.4983
0.6342 0.4960 0.0273
0.6693 0.1395 0.8759
0.6759 0.3929 0.1060
0.6903 0.7517 0.9256
0.7517 0.6903 0.6324
0.7861 0.3484 0.4121
0.7966 0.8379 0.9016
0.8379 0.7966 0.4639
0.8578 0.4164 0.0759
0.9117 0.4496 0.6554
0.9346 0.3741 0.1105
0.9580 0.1098 0.8369
0.9931 0.2424 0.6335
0.2376 0.6187 0.5103
0.2448 0.8333 0.3806
0.6166 0.7397 0.6313
0.6187 0.2376 0.6334
0.7088 0.8694 0.4167
0.7397 0.6166 0.0124
0.8333 0.2448 0.5412
0.8694 0.7088 0.0052
0.1897 0.4776 0.5803
0.2119 0.6914 0.4438
0.2713 0.9593 0.3166
0.3059 0.6814 0.5096
0.4776 0.1897 0.7525
0.4975 0.6697 0.7724
0.5972 0.8062 0.5586
0.6697 0.4975 0.0603
0.6814 0.3059 0.5031
0.6914 0.2119 0.6528
0.7404 0.7469 0.9441
0.7469 0.7404 0.5686
0.7972 0.9334 0.2907
0.8062 0.5972 0.0381
0.9334 0.7972 0.9787
0.9593 0.2713 0.4528
0.0076 0.4309 0.1619
0.0881 0.8504 0.2424
0.3739 0.3739 0.6261
0.4309 0.0076 0.3996
0.6239 0.6239 0.8761
0.8504 0.0881 0.8191
0.0284 0.1266 0.8230
0.0339 0.3411 0.5707
0.1266 0.0284 0.0220
0.1517 0.5643 0.3532
0.1957 0.6793 0.9089
0.2280 0.4270 0.1234
0.3193 0.8968 0.6857
0.3411 0.0339 0.0543
0.4270 0.2280 0.2216
0.5643 0.1517 0.9307
0.6793 0.1957 0.2161
0.8968 0.3193 0.0983
```

***

ZnH8C2N4Cl2O2: optimized geometry, PBE.

Values from the calculation:
Its calculated total energy is -5.566 eV/atom.

Structure (POSCAR):
```
ZnH8C2N4Cl2O2
1.0
6.0763 0.0000 0.0000
2.4591 6.1085 0.0000
2.2732 -0.7718 10.8731
Zn H C N Cl O
2 16 4 8 4 4
direct
0.0224 0.1535 0.2572
0.9776 0.8465 0.7428
0.1590 0.3747 0.7194
0.1810 0.4615 0.9195
0.2232 0.7555 0.4270
0.2452 0.4812 0.4141
0.3212 0.8567 0.9521
0.4274 0.1709 0.6395
0.4966 0.6680 0.1039
0.4972 0.8284 0.8047
0.5028 0.1716 0.1953
0.5034 0.3320 0.8961
0.5726 0.8291 0.3605
0.6788 0.1433 0.0479
0.7548 0.5188 0.5859
0.7768 0.2445 0.5730
0.8190 0.5385 0.0805
0.8410 0.6253 0.2806
0.3118 0.3034 0.0640
0.4405 0.4766 0.6533
0.5595 0.5234 0.3467
0.6882 0.6966 0.9360
0.3223 0.5951 0.3981
0.3283 0.3334 0.6651
0.3344 0.3742 0.9512
0.4889 0.8241 0.8970
0.5111 0.1759 0.1030
0.6656 0.6258 0.0488
0.6717 0.6666 0.3349
0.6777 0.4049 0.6019
0.0715 0.8481 0.1532
0.2087 0.1354 0.4142
0.7913 0.8646 0.5858
0.9285 0.1519 0.8468
0.0984 0.3555 0.1340
0.3289 0.6803 0.6898
0.6711 0.3197 0.3102
0.9016 0.6445 0.8660
```

***

ZnH15C8N5Cl4O: optimized geometry, PBE.

Values from the calculation:
Its calculated total energy is -5.638 eV/atom.

Structure (POSCAR):
```
ZnH15C8N5Cl4O
1.0
6.2006 -4.0844 0.0000
6.2006 4.0844 0.0000
-0.8692 0.0000 15.1175
Zn H C N Cl O
2 30 16 10 8 2
direct
0.1838 0.8162 0.5000
0.8162 0.1838 0.0000
0.0211 0.7885 0.0934
0.0484 0.5928 0.0377
0.0921 0.5482 0.8585
0.1111 0.6761 0.7671
0.2084 0.8446 0.2559
0.2182 0.2488 0.3634
0.2488 0.2182 0.8634
0.2492 0.4425 0.1542
0.2506 0.8954 0.8915
0.2741 0.9513 0.1103
0.3006 0.5018 0.6469
0.4244 0.9829 0.9400
0.4425 0.2492 0.6542
0.4856 0.6255 0.3491
0.4861 0.7260 0.9252
0.5018 0.3006 0.1469
0.5482 0.0921 0.3585
0.5928 0.0484 0.5377
0.6255 0.4856 0.8491
0.6299 0.8285 0.0648
0.6329 0.8760 0.6556
0.6761 0.1111 0.2671
0.7260 0.4861 0.4252
0.7885 0.0211 0.5934
0.8285 0.6299 0.5648
0.8446 0.2084 0.7559
0.8760 0.6329 0.1556
0.8954 0.2506 0.3915
0.9513 0.2741 0.6103
0.9829 0.4244 0.4400
0.2664 0.3800 0.7593
0.3583 0.7949 0.2332
0.3800 0.2664 0.2593
0.3931 0.8546 0.1520
0.4078 0.8685 0.8954
0.4798 0.8803 0.8066
0.5135 0.6725 0.2859
0.5855 0.7894 0.1262
0.6094 0.7054 0.7575
0.6725 0.5135 0.7859
0.7054 0.6094 0.2575
0.7894 0.5855 0.6262
0.7949 0.3583 0.7332
0.8546 0.3931 0.6520
0.8685 0.4078 0.3954
0.8803 0.4798 0.3066
0.0421 0.4333 0.2647
0.1484 0.5469 0.7984
0.2104 0.3128 0.3032
0.3128 0.2104 0.8032
0.3368 0.3753 0.6803
0.3753 0.3368 0.1803
0.4333 0.0421 0.7647
0.5469 0.1484 0.2984
0.6722 0.7321 0.6781
0.7321 0.6722 0.1781
0.0250 0.3297 0.9657
0.0982 0.8759 0.6478
0.3297 0.0250 0.4657
0.3963 0.5025 0.4873
0.5025 0.3963 0.9873
0.8759 0.0982 0.1478
0.8788 0.9063 0.9172
0.9063 0.8788 0.4172
0.0581 0.6462 0.0977
0.6462 0.0581 0.5977
```